[1]
Density functional theory data (PBE) for crystalline TbY2Sn at its relaxed geometry.

Lattice parameters (Å, degrees): 3.5246 3.5246 35.8151 90.00 90.00 120.00
Closest atoms and distances in Å follow each position.
Space group R-3m (No. 166, hexagonal axes)
Symmetry-distinct sites (fractional):
Tb 0.0000 0.0000 0.0000  6 Y 3.51, 6 Tb 3.52
Y 0.0000 0.0000 0.4132  1 Sn 3.11
Sn 0.0000 0.0000 0.5000  2 Y 3.11

Summary:
- Total magnetic moment: 0.00 μB/f.u.
- Formation energy: 0.047 eV/atom
- Energy above the most stable polymorph in this dataset: 0.467 eV/atom

***

[2]
Density functional theory data (PBE) for crystalline TbYSn2 at its relaxed geometry.

Lattice parameters (Å, degrees): 3.4807 3.4807 8.8166 90.00 90.00 90.00
Closest atoms and distances in Å follow each position.
Space group P4/mmm (No. 123)
Symmetry-distinct sites (fractional):
Tb 0.0000 0.0000 0.0000  8 Sn 3.31, 4 Tb 3.48
Y 0.0000 0.0000 0.5000  8 Sn 3.30, 4 Y 3.48
Sn 0.5000 0.5000 0.2506  4 Y 3.30, 4 Tb 3.31, 4 Sn 3.48

Summary:
- Total magnetic moment: 0.00 μB/f.u.
- Formation energy: -0.644 eV/atom

***

[3]
Density functional theory data (PBE) for crystalline TbYSn2 at its relaxed geometry.

Lattice parameters (Å, degrees): 4.2984 6.1553 8.3925 90.00 90.00 90.00
Closest atoms and distances in Å follow each position.
Space group Pmc2_1 (No. 26)
Symmetry-distinct sites (fractional):
Tb 0.0000 0.1257 0.0000  5 Sn 3.10-3.17
Y 0.5000 0.3747 0.3651  5 Sn 3.10-3.17
Sn 0.0000 0.4075 0.6388  2 Sn 2.99, 1 Tb 3.10, 4 Y 3.15-3.17
Sn 0.5000 0.0918 0.7264  2 Sn 2.99, 1 Y 3.10, 4 Tb 3.15-3.17

Summary:
- Total magnetic moment: 0.00 μB/f.u.
- Formation energy: -0.742 eV/atom

***

[4]
Density functional theory data (PBE) for crystalline TbY5Sn6 at its relaxed geometry.

Lattice parameters (Å, degrees): 5.7394 14.0922 8.4950 90.00 102.33 90.00
Closest atoms and distances in Å follow each position.
Space group C2/m (No. 12)
Symmetry-distinct sites (fractional):
Tb 0.0000 0.0000 0.0000  6 Sn 3.17-3.19
Y 0.0000 0.0000 0.5000  6 Sn 3.17-3.18
Y 0.0000 0.3329 0.0000  6 Sn 3.16-3.19
Y 0.0000 0.3338 0.5000  6 Sn 3.17-3.18
Sn 0.9996 0.1668 0.2505  5 Y 3.16-3.19, 1 Tb 3.17
Sn 0.0025 0.5000 0.2494  5 Y 3.17-3.18, 1 Tb 3.19

Summary:
- Total magnetic moment: 0.00 μB/f.u.
- Formation energy: -0.652 eV/atom

***

[5]
Density functional theory data (PBE) for crystalline TbYSn2 at its relaxed geometry.

Lattice parameters (Å, degrees): 4.9024 4.9024 4.4281 90.00 90.00 90.00
Closest atoms and distances in Å follow each position.
Space group P4/mmm (No. 123)
Symmetry-distinct sites (fractional):
Tb 0.0000 0.0000 0.0000  8 Sn 3.30, 4 Y 3.47
Y 0.5000 0.5000 0.0000  8 Sn 3.30, 4 Tb 3.47
Sn 0.0000 0.5000 0.5000  4 Tb 3.30, 4 Y 3.30, 4 Sn 3.47

Summary:
- Total magnetic moment: 0.05 μB/f.u.
- Formation energy: -0.632 eV/atom

***

[6]
Density functional theory data (PBE) for crystalline TbY2Sn at its relaxed geometry.

Lattice parameters (Å, degrees): 5.1457 5.1457 17.1861 90.00 90.00 120.00
Closest atoms and distances in Å follow each position.
Space group R3m (No. 160, hexagonal axes)
Symmetry-distinct sites (fractional):
Tb 0.0000 0.0000 0.0000  1 Sn 3.33, 6 Y 3.48-3.58
Y 0.0000 0.0000 0.2168  3 Sn 3.25, 3 Y 3.54, 3 Tb 3.58
Y 0.0000 0.0000 0.4383  3 Sn 3.03
Sn 0.0000 0.0000 0.8065  6 Y 3.03-3.25, 1 Tb 3.33

Summary:
- Total magnetic moment: 0.00 μB/f.u.
- Formation energy: -0.126 eV/atom
- Energy above the most stable polymorph in this dataset: 0.294 eV/atom

***

[7]
Density functional theory data (PBE) for crystalline TbY2Sn at its relaxed geometry.

Lattice parameters (Å, degrees): 4.8384 4.8384 4.7991 90.00 90.00 90.00
Closest atoms and distances in Å follow each position.
Space group P4/mmm (No. 123)
Symmetry-distinct sites (fractional):
Tb 0.0000 0.0000 0.0000  8 Y 3.41, 4 Sn 3.42
Y 0.0000 0.5000 0.5000  4 Tb 3.41, 4 Sn 3.41, 4 Y 3.42
Sn 0.5000 0.5000 0.0000  8 Y 3.41, 4 Tb 3.42

Summary:
- Total magnetic moment: 0.00 μB/f.u.
- Formation energy: -0.420 eV/atom
- Energy above the most stable polymorph in this dataset: 0.000 eV/atom

***

[8]
Density functional theory data (PBE) for crystalline TbY2Sn9 at its relaxed geometry.

Lattice parameters (Å, degrees): 4.7996 4.7996 13.7039 90.00 90.00 90.00
Closest atoms and distances in Å follow each position.
Space group P4/mmm (No. 123)
Symmetry-distinct sites (fractional):
Tb 0.0000 0.0000 0.0000  12 Sn 3.31-3.39
Y 0.0000 0.0000 0.3330  12 Sn 3.31-3.39
Sn 0.0000 0.5000 0.1667  2 Y 3.31, 8 Sn 3.31-3.39, 2 Tb 3.31
Sn 0.0000 0.5000 0.5000  8 Sn 3.31-3.39, 4 Y 3.32
Sn 0.5000 0.5000 0.0000  8 Sn 3.31, 4 Tb 3.39
Sn 0.5000 0.5000 0.3333  8 Sn 3.31, 4 Y 3.39

Summary:
- Total magnetic moment: 0.00 μB/f.u.
- Formation energy: -0.432 eV/atom

***

[9]
Density functional theory data (PBE) for crystalline TbYSn at its relaxed geometry.

Lattice parameters (Å, degrees): 3.3479 3.3479 17.4964 90.00 90.00 90.00
Closest atoms and distances in Å follow each position.
Space group I4mm (No. 107)
Symmetry-distinct sites (fractional):
Tb 0.0000 0.0000 0.0000  4 Sn 3.24, 4 Tb 3.35, 1 Y 3.47
Y 0.0000 0.0000 0.1985  1 Sn 3.07, 4 Y 3.35
Sn 0.0000 0.0000 0.3737  1 Y 3.07, 4 Tb 3.24, 4 Sn 3.35

Summary:
- Total magnetic moment: 0.99 μB/f.u.
- Formation energy: 0.154 eV/atom
- Energy above the most stable polymorph in this dataset: 0.578 eV/atom

***

[10]
Density functional theory data (PBE) for crystalline TbYSn2 at its relaxed geometry.

Lattice parameters (Å, degrees): 4.3152 4.5032 11.4482 90.00 90.00 90.00
Closest atoms and distances in Å follow each position.
Space group Amm2 (No. 38)
Symmetry-distinct sites (fractional):
Tb 0.0000 0.0000 0.0000  7 Sn 3.12-3.44
Y 0.5000 0.0000 0.2686  7 Sn 3.12-3.44
Sn 0.0000 0.0000 0.7276  2 Sn 3.04, 1 Tb 3.12, 4 Y 3.15
Sn 0.5000 0.0000 0.5410  2 Sn 3.04, 1 Y 3.12, 4 Tb 3.15

Summary:
- Total magnetic moment: 0.00 μB/f.u.
- Formation energy: -0.755 eV/atom

***

[11]
Density functional theory data (PBE) for crystalline Tb3Zn4Sn2 at its relaxed geometry.

Lattice parameters (Å, degrees): 10.9753 4.5377 8.6470 90.00 111.12 90.00
Closest atoms and distances in Å follow each position.
Space group C2/m (No. 12)
Symmetry-distinct sites (fractional):
Tb 0.0000 0.0000 0.0000  4 Zn 3.02-3.09, 4 Sn 3.21
Tb 0.1684 0.5000 0.6678  5 Zn 3.01-3.23, 4 Sn 3.20-3.30
Zn 0.0201 0.0000 0.3658  1 Zn 2.51, 2 Sn 2.71
Zn 0.2473 0.5000 0.0651  2 Zn 2.54, 1 Sn 2.73
Sn 0.1144 0.5000 0.2780  3 Zn 2.71-2.73

Summary:
- Total magnetic moment: 0.00 μB/f.u.
- Formation energy: -0.522 eV/atom

***

[12]
Density functional theory data (PBE) for crystalline Tb3ZnSn at its relaxed geometry.

Lattice parameters (Å, degrees): 5.9462 10.6970 8.3965 90.00 90.00 90.00
Closest atoms and distances in Å follow each position.
Space group Pnma (No. 62)
Symmetry-distinct sites (fractional):
Tb 0.0129 0.0981 0.1370  2 Zn 2.98-3.09, 2 Tb 3.12-3.25, 2 Sn 3.22-3.29
Tb 0.2200 0.7500 0.2857  2 Zn 2.98-3.21, 2 Tb 3.03
Zn 0.0811 0.2500 0.4299  2 Sn 2.78, 5 Tb 2.98-3.09
Sn 0.0000 0.0000 0.5000  2 Zn 2.78

Summary:
- Total magnetic moment: 0.00 μB/f.u.
- Formation energy: -0.256 eV/atom

***

[13]
Density functional theory data (PBE) for crystalline Tb6Zn5Sn at its relaxed geometry.

Lattice parameters (Å, degrees): 5.1088 7.2482 15.3998 90.00 90.00 90.00
Closest atoms and distances in Å follow each position.
Space group Immm (No. 71)
Symmetry-distinct sites (fractional):
Tb 0.0000 0.2407 0.0000  6 Zn 3.09-3.22, 2 Sn 3.17
Tb 0.0000 0.2548 0.3297  7 Zn 3.04-3.17, 1 Sn 3.21
Zn 0.0000 0.0000 0.1678  8 Tb 3.10-3.12
Zn 0.0000 0.5000 0.1697  8 Tb 3.04-3.22
Zn 0.0000 0.5000 0.5000  8 Tb 3.09-3.17
Sn 0.0000 0.0000 0.5000  8 Tb 3.17-3.21

Summary:
- Total magnetic moment: 0.00 μB/f.u.
- Formation energy: -0.401 eV/atom

***

[14]
Density functional theory data (PBE) for crystalline Tb3ZnSn3 at its relaxed geometry.

Lattice parameters (Å, degrees): 11.4045 4.4603 14.9415 90.00 108.18 90.00
Closest atoms and distances in Å follow each position.
Space group C2/m (No. 12)
Symmetry-distinct sites (fractional):
Tb 0.0168 0.0000 0.3795  6 Sn 3.14-3.33, 3 Zn 3.27-3.31
Tb 0.1013 0.0000 0.9213  7 Sn 3.11-3.42
Tb 0.2327 0.0000 0.2301  6 Sn 3.13-3.40, 2 Zn 3.15
Zn 0.2251 0.5000 0.3768  4 Sn 2.73-2.90
Sn 0.0073 0.5000 0.2295  1 Zn 2.76, 1 Sn 3.00
Sn 0.1252 0.5000 0.0758  2 Sn 3.00-3.04, 5 Tb 3.11-3.17
Sn 0.1466 0.5000 0.5437  3 Zn 2.73-2.90

Summary:
- Total magnetic moment: 0.00 μB/f.u.
- Formation energy: -0.651 eV/atom
- Energy above the most stable polymorph in this dataset: 0.000 eV/atom

***

[15]
Density functional theory data (PBE) for crystalline Tb5Zn2Sn at its relaxed geometry.

Lattice parameters (Å, degrees): 8.1311 8.1311 12.9055 90.00 90.00 90.00
Closest atoms and distances in Å follow each position.
Space group I4/mcm (No. 140)
Symmetry-distinct sites (fractional):
Tb 0.0000 0.0000 0.0000  4 Zn 3.16, 2 Sn 3.23
Tb 0.1555 0.3445 0.1458  3 Zn 3.03-3.05, 2 Sn 3.35
Zn 0.1356 0.3644 0.5000  8 Tb 3.03-3.16, 1 Zn 3.12
Sn 0.0000 0.0000 0.2500  10 Tb 3.23-3.35

Summary:
- Total magnetic moment: 0.00 μB/f.u.
- Formation energy: -0.394 eV/atom

***

[16]
Density functional theory data (PBE) for crystalline Tb4Zn3Sn at its relaxed geometry.

Lattice parameters (Å, degrees): 5.1293 5.1293 25.3964 90.00 90.00 120.00
Closest atoms and distances in Å follow each position.
Space group R-3m (No. 166, hexagonal axes)
Symmetry-distinct sites (fractional):
Tb 0.0000 0.0000 0.1212  5 Zn 3.08-3.38, 3 Sn 3.18
Tb 0.0000 0.0000 0.3716  7 Zn 2.98-3.14, 1 Sn 3.26
Zn 0.0000 0.0000 0.0000  8 Tb 3.08-3.12
Zn 0.0000 0.0000 0.2541  7 Tb 2.98-3.15
Sn 0.0000 0.0000 0.5000  8 Tb 3.18-3.26

Summary:
- Total magnetic moment: 0.00 μB/f.u.
- Formation energy: -0.431 eV/atom

***

[17]
Density functional theory data (PBE) for crystalline Tb4ZnSn at its relaxed geometry.

Lattice parameters (Å, degrees): 5.4031 20.7229 6.4249 90.00 90.00 90.00
Closest atoms and distances in Å follow each position.
Space group Cmcm (No. 63)
Symmetry-distinct sites (fractional):
Tb 0.0000 0.0557 0.2500  1 Zn 2.82
Tb 0.0000 0.2020 0.0033  1 Zn 3.00, 4 Tb 3.17-3.36, 2 Sn 3.29
Tb 0.0000 0.3869 0.2500  2 Zn 2.79
Zn 0.0000 0.0804 0.7500  5 Tb 2.79-3.00
Sn 0.0000 0.3462 0.7500  10 Tb 3.29-3.40

Summary:
- Total magnetic moment: 0.00 μB/f.u.
- Formation energy: -0.205 eV/atom

***

[18]
Density functional theory data (PBE) for crystalline Tb7Zn2Sn2 at its relaxed geometry.

Lattice parameters (Å, degrees): 7.9892 11.2119 7.2456 90.00 90.00 90.00
Closest atoms and distances in Å follow each position.
Space group Cmmm (No. 65)
Symmetry-distinct sites (fractional):
Tb 0.0000 0.0000 0.0000  2 Zn 3.22
Tb 0.0000 0.5000 0.2393  2 Zn 2.95, 2 Sn 3.17
Tb 0.2500 0.2500 0.2737  2 Zn 2.84
Zn 0.0000 0.2868 0.0000  6 Tb 2.84-2.95
Sn 0.1814 0.0000 0.5000  1 Sn 2.90, 2 Tb 3.17

Summary:
- Total magnetic moment: 0.00 μB/f.u.
- Formation energy: -0.136 eV/atom

***

[19]
Density functional theory data (PBE) for crystalline Tb2ZnSn2 at its relaxed geometry.

Lattice parameters (Å, degrees): 4.6229 16.5655 6.9455 90.00 90.00 90.00
Closest atoms and distances in Å follow each position.
Space group Cmc2_1 (No. 36)
Symmetry-distinct sites (fractional):
Tb 0.0000 0.0102 0.0000  2 Zn 3.13, 5 Sn 3.13-3.15, 2 Tb 3.49
Tb 0.0000 0.2036 0.2879  5 Sn 3.10-3.37, 1 Zn 3.44
Zn 0.0000 0.4057 0.1742  4 Sn 2.72-2.86
Sn 0.0000 0.1721 0.7671  2 Zn 2.72
Sn 0.0000 0.4261 0.7655  2 Zn 2.86, 6 Tb 3.14-3.16

Summary:
- Total magnetic moment: 0.00 μB/f.u.
- Formation energy: -0.563 eV/atom

***

[20]
Density functional theory data (PBE) for crystalline Tb2Zn3Sn at its relaxed geometry.

Lattice parameters (Å, degrees): 7.2643 9.1048 15.7785 90.00 90.00 90.00
Closest atoms and distances in Å follow each position.
Space group Fmmm (No. 69)
Symmetry-distinct sites (fractional):
Tb 0.2428 0.0000 0.0000  10 Zn 3.10-3.24, 2 Sn 3.21
Tb 0.2500 0.2500 0.2500  4 Sn 3.20, 8 Zn 3.23-3.24
Zn 0.0000 0.0000 0.1612  2 Zn 2.56, 1 Sn 2.73
Zn 0.0000 0.2434 0.0797  2 Zn 2.52-2.56, 1 Sn 2.70
Sn 0.0000 0.0000 0.3343  3 Zn 2.70-2.73

Summary:
- Total magnetic moment: 0.00 μB/f.u.
- Formation energy: -0.490 eV/atom

***

[21]
Density functional theory data (PBE) for crystalline Tb7Zn4Sn at its relaxed geometry.

Lattice parameters (Å, degrees): 14.0434 5.7048 8.9259 90.00 119.22 90.00
Closest atoms and distances in Å follow each position.
Space group C2/m (No. 12)
Symmetry-distinct sites (fractional):
Tb 0.0000 0.0000 0.0000  2 Sn 2.85, 4 Zn 2.87-3.08
Tb 0.0763 0.5000 0.4064  3 Zn 2.96-3.06, 1 Sn 3.24, 3 Tb 3.25-3.30
Tb 0.1820 0.5000 0.8762  1 Zn 3.20, 1 Sn 3.24, 6 Tb 3.25-3.54
Tb 0.2242 0.0000 0.6873  4 Zn 2.86-3.15
Zn 0.0143 0.0000 0.6667  2 Zn 2.80-2.84, 4 Tb 2.86-3.08
Zn 0.1887 0.0000 0.3361  1 Zn 2.84, 5 Tb 2.87-3.15
Sn 0.0000 0.5000 0.0000  2 Tb 2.85

Summary:
- Total magnetic moment: 0.00 μB/f.u.
- Formation energy: -0.178 eV/atom

***

[22]
Density functional theory data (PBE) for crystalline Tb4ZnSn3 at its relaxed geometry.

Lattice parameters (Å, degrees): 4.3057 4.4431 11.3738 90.00 90.00 90.00
Closest atoms and distances in Å follow each position.
Space group Pmm2 (No. 25)
Symmetry-distinct sites (fractional):
Tb 0.0000 0.0000 0.0000  1 Zn 3.12, 4 Sn 3.15
Tb 0.0000 0.5000 0.4894  5 Sn 3.11-3.16, 2 Zn 3.31
Tb 0.5000 0.0000 0.7179  7 Sn 3.14-3.43
Tb 0.5000 0.5000 0.2207  3 Sn 3.11-3.29, 4 Zn 3.15
Zn 0.0000 0.0000 0.2740  2 Sn 2.82, 5 Tb 3.12-3.15
Sn 0.0000 0.5000 0.7630  2 Sn 3.01, 5 Tb 3.11-3.14
Sn 0.5000 0.0000 0.4346  2 Zn 2.82, 4 Tb 3.16
Sn 0.5000 0.5000 0.9473  2 Sn 3.01, 5 Tb 3.11-3.15

Summary:
- Total magnetic moment: 0.00 μB/f.u.
- Formation energy: -0.636 eV/atom

***

[23]
Density functional theory data (PBE) for crystalline Tb2Zn5Sn at its relaxed geometry.

Lattice parameters (Å, degrees): 4.3537 16.2655 9.0225 90.00 90.00 90.00
Closest atoms and distances in Å follow each position.
Space group Cmcm (No. 63)
Symmetry-distinct sites (fractional):
Tb 0.0000 0.0000 0.0000  6 Zn 3.20-3.34, 4 Sn 3.25
Tb 0.0000 0.2023 0.2500  13 Zn 3.06-3.35, 2 Sn 3.28
Zn 0.0000 0.1874 0.6087  4 Zn 2.52-2.68
Zn 0.0000 0.3444 0.5194  4 Zn 2.52-2.68, 1 Sn 2.68
Zn 0.0000 0.3904 0.2500  6 Zn 2.54-2.82, 1 Sn 2.62
Sn 0.0000 0.4483 0.7500  3 Zn 2.62-2.68

Summary:
- Total magnetic moment: 0.00 μB/f.u.
- Formation energy: -0.426 eV/atom